A plane-wave DFT calculation with PBEsol was carried out for CaPtW3 after structural relaxation.

Computed properties:
E_form = 908 kJ/mol of formula units
theoretical density = 11.60 g/cm³
M_tot = 0.0001 μB/atom
total DFT energy (no corrections) = -8.2213 eV/atom

```
data_CaPtW3
_cell_length_a 4.8286
_cell_length_b 4.8286
_cell_length_c 4.8286
_cell_angle_alpha 90.00
_cell_angle_beta 90.00
_cell_angle_gamma 90.00
_space_group_name_H-M_alt 'P m -3 m'
_space_group_IT_number 221
_space_group_name_Hall '-P 4 2 3'
loop_
_atom_site_label
_atom_site_fract_x
_atom_site_fract_y
_atom_site_fract_z
Ca1 0.0000 0.0000 0.0000
Pt1 0.5000 0.5000 0.5000
W1 0.0000 0.5000 0.5000
```


A plane-wave DFT calculation with PBEsol was carried out for Ca2PtW after structural relaxation.

Computed properties:
E_form = 176 kJ/mol of formula units
theoretical density = 9.70 g/cm³
M_tot = 0.0000 μB/atom
total DFT energy (no corrections) = -5.8035 eV/atom

```
data_Ca2PtW
_cell_length_a 3.0531
_cell_length_b 3.0531
_cell_length_c 29.2042
_cell_angle_alpha 90.00
_cell_angle_beta 90.00
_cell_angle_gamma 120.00
_space_group_name_H-M_alt 'R -3 m'
_space_group_IT_number 166
_space_group_name_Hall '-R 3 2"'
loop_
_atom_site_label
_atom_site_fract_x
_atom_site_fract_y
_atom_site_fract_z
Ca1 0.0000 0.0000 0.2461
Pt1 0.0000 0.0000 0.5000
W1 0.0000 0.0000 0.0000
```